# KBe2Al PBE relaxed
data_KBe2Al
_chemical_formula_sum 'K1 Be2 Al1'
_symmetry_space_group_name_H-M 'P 1'
_symmetry_Int_Tables_number 1
_cell_length_a 9.838
_cell_length_b 9.838
_cell_length_c 9.838
_cell_angle_alpha 16.49
_cell_angle_beta 16.49
_cell_angle_gamma 16.49
loop_
_symmetry_equiv_pos_as_xyz
'x,y,z'
loop_
_atom_site_label
_atom_site_type_symbol
_atom_site_fract_x
_atom_site_fract_y
_atom_site_fract_z
_atom_site_occupancy
Be1 Be 0.986 0.986 0.986 1
Be2 Be 0.514 0.514 0.514 1
K1 K 0.750 0.750 0.750 1
Al1 Al 0.250 0.250 0.250 1
# Energy relative to the elements (eV/f.u.): 3.40
# DOS(E_F) (states/eV per atom): 0.819
# Space group: R-3m (166)